This record from Alexandria describes crystalline AlHg2Te at its relaxed geometry. The functional is GGA-PBE.

formation energy without anion corrections: 132 meV/atom
V: 26.2 Å³/atom
offset from the most stable computed form: 240 meV/atom
E_tot: -0.0639 hartree per atom

Cell: 7.491 7.337 5.104 Å, 90.00 131.56 90.00°
Space group C2 (No. 5)
Symmetry-distinct sites (fractional):
Al  0.000  0.000  0.000
Hg  0.000  0.554  0.000
Hg  0.000  0.804  0.500
Te  0.000  0.298  0.500

This record from Alexandria describes crystalline AlHgTe at its relaxed geometry. The functional is GGA-PBE.

formation energy without anion corrections: 91 meV/atom
V: 27.2 Å³/atom
offset from the most stable computed form: 302 meV/atom
E_tot: -0.0847 hartree per atom

Cell: 3.609 3.609 12.517 Å, 90.00 90.00 90.00°
Space group I4mm (No. 107)
Symmetry-distinct sites (fractional):
Al  0.000  0.000  0.000
Hg  0.000  0.000  0.672
Te  0.000  0.000  0.392

This record from Alexandria describes crystalline AlHgTe2 at its relaxed geometry. The functional is GGA-PBE.

formation energy without anion corrections: -20 meV/atom
V: 26.9 Å³/atom
E_tot: -0.0956 hartree per atom

Cell: 3.980 5.839 9.270 Å, 90.00 90.00 90.00°
Space group Amm2 (No. 38)
Symmetry-distinct sites (fractional):
Al  0.000  0.000  0.000
Hg  0.500  0.000  0.226
Te  0.000  0.000  0.486
Te  0.500  0.000  0.791

This record from Alexandria describes crystalline Al2HgTe at its relaxed geometry. The functional is GGA-PBE.

formation energy without anion corrections: 101 meV/atom
V: 23.5 Å³/atom
offset from the most stable computed form: 105 meV/atom
E_tot: -0.0967 hartree per atom

Cell: 3.753 4.321 11.576 Å, 90.00 90.00 90.00°
Space group Imm2 (No. 44)
Symmetry-distinct sites (fractional):
Al  0.000  0.000  0.000
Al  0.000  0.500  0.296
Hg  0.000  0.000  0.467
Te  0.000  0.500  0.698

This record from Alexandria describes crystalline AlHgTe at its relaxed geometry. The functional is GGA-PBE.

formation energy without anion corrections: -210 meV/atom
V: 35.2 Å³/atom
offset from the most stable computed form: 1 meV/atom
E_tot: -0.0958 hartree per atom

Cell: 4.087 5.603 10.157 Å, 90.91 101.40 111.37°
Space group P-1 (No. 2)
Symmetry-distinct sites (fractional):
Al  0.103  0.235  0.471
Hg  0.179  0.795  0.066
Te  0.395  0.612  0.681

This record from Alexandria describes crystalline AlHgTe2 at its relaxed geometry. The functional is GGA-PBE.

formation energy without anion corrections: 151 meV/atom
V: 27.4 Å³/atom
E_tot: -0.0893 hartree per atom

Cell: 3.082 5.876 6.185 Å, 90.00 101.38 90.00°
Space group P2/m (No. 10)
Symmetry-distinct sites (fractional):
Al  0.000  0.000  0.000
Hg  0.500  0.000  0.500
Te  0.014  0.500  0.755

This record from Alexandria describes crystalline AlHg2Te at its relaxed geometry. The functional is GGA-PBE.

formation energy without anion corrections: 164 meV/atom
V: 24.9 Å³/atom
offset from the most stable computed form: 272 meV/atom
E_tot: -0.0628 hartree per atom

Cell: 4.335 5.240 8.778 Å, 90.00 90.00 90.00°
Space group Cmmm (No. 65)
Symmetry-distinct sites (fractional):
Al  0.000  0.000  0.000
Hg  0.000  0.500  0.214
Te  0.000  0.000  0.500

This record from Alexandria describes crystalline AlHgTe2 at its relaxed geometry. The functional is GGA-PBE.

formation energy without anion corrections: -113 meV/atom
V: 32.1 Å³/atom
E_tot: -0.0991 hartree per atom

Cell: 7.270 4.199 8.403 Å, 90.00 90.13 90.00°
Space group Cm (No. 8)
Symmetry-distinct sites (fractional):
Al  0.000  0.000  0.000
Hg  0.001  0.000  0.303
Te  0.168  0.500  0.490
Te  0.333  0.000  0.852

Q: Number 6 is which compound?
A: AlHgTe2